{"formula": "InBTe2I", "functional": "PBEsol", "state": "relaxed", "lattice_angstrom": [[4.931, 0.000, 0.000], [0.000, 4.931, 0.000], [0.000, 0.000, 5.096]], "species": ["In", "B", "Te", "Te", "I"], "frac_coords": [[0.000, 0.000, 0.000], [0.500, 0.500, 0.500], [0.000, 0.500, 0.500], [0.500, 0.000, 0.500], [0.500, 0.500, 0.000]], "rho_g_cm3": 6.8, "space_group": "P4/mmm", "n_ef_per_ev_atom": 0.4174}

{"formula": "BIrI2", "functional": "PBEsol", "state": "relaxed", "lattice_angstrom": [[-2.799, 2.799, 5.923], [2.799, -2.799, 5.923], [2.799, 2.799, -5.923]], "species": ["B", "B", "Ir", "Ir", "I", "I", "I", "I"], "frac_coords": [[0.000, 0.000, 0.000], [0.750, 0.250, 0.500], [0.250, 0.750, 0.500], [0.500, 0.500, 0.000], [0.103, 0.625, 0.978], [0.375, 0.353, 0.478], [0.647, 0.125, 0.022], [0.875, 0.897, 0.522]], "rho_g_cm3": 8.2, "space_group": "I-42d", "n_ef_per_ev_atom": 0.3848}

{"formula": "BIrIO2", "functional": "PBEsol", "state": "relaxed", "lattice_angstrom": [[3.664, 0.000, 0.000], [0.000, 3.664, 0.000], [0.000, 0.000, 7.968]], "species": ["B", "Ir", "I", "O", "O"], "frac_coords": [[0.000, 0.000, 0.000], [0.500, 0.500, 0.500], [0.500, 0.500, 0.000], [0.000, 0.500, 0.500], [0.500, 0.000, 0.500]], "rho_g_cm3": 5.6, "space_group": "P4/mmm", "n_ef_per_ev_atom": 0.4885}

{"formula": "BTe2IrI", "functional": "PBEsol", "state": "relaxed", "lattice_angstrom": [[5.110, 0.000, 0.000], [0.000, 5.110, 0.000], [0.000, 0.000, 5.534]], "species": ["B", "Te", "Te", "Ir", "I"], "frac_coords": [[0.000, 0.000, 0.000], [0.000, 0.500, 0.500], [0.500, 0.000, 0.500], [0.500, 0.500, 0.500], [0.500, 0.500, 0.000]], "rho_g_cm3": 6.7, "space_group": "P4/mmm", "n_ef_per_ev_atom": 1.0695}

{"formula": "KB2I", "functional": "PBEsol", "state": "relaxed", "lattice_angstrom": [[0.000, 3.442, 3.442], [3.442, 0.000, 3.442], [3.442, 3.442, 0.000]], "species": ["K", "B", "B", "I"], "frac_coords": [[0.000, 0.000, 0.000], [0.250, 0.250, 0.250], [0.750, 0.750, 0.750], [0.500, 0.500, 0.500]], "rho_g_cm3": 3.8, "space_group": "Fm-3m", "n_ef_per_ev_atom": 0.8767, "e_above_lowest_polymorph_kj_per_mol_atoms": 16.6}

{"formula": "KB2I", "functional": "PBEsol", "state": "relaxed", "lattice_angstrom": [[-3.675, 3.675, 3.254], [3.675, -3.675, 3.254], [3.675, 3.675, -3.254]], "species": ["K", "K", "B", "B", "B", "B", "I", "I"], "frac_coords": [[0.000, 0.000, 0.000], [0.750, 0.250, 0.500], [0.177, 0.125, 0.552], [0.375, 0.823, 0.948], [0.573, 0.625, 0.448], [0.875, 0.427, 0.052], [0.250, 0.750, 0.500], [0.500, 0.500, 0.000]], "rho_g_cm3": 3.5, "space_group": "I-42d", "n_ef_per_ev_atom": 0.3977, "e_above_lowest_polymorph_kj_per_mol_atoms": 0.0}

{"formula": "KZr6BI14", "functional": "PBEsol", "state": "relaxed", "lattice_angstrom": [[7.893, -7.089, 0.000], [7.893, 7.089, 0.000], [0.000, 0.000, 12.709]], "species": ["K", "K", "Zr", "Zr", "Zr", "Zr", "Zr", "Zr", "Zr", "Zr", "Zr", "Zr", "Zr", "Zr", "B", "B", "I", "I", "I", "I", "I", "I", "I", "I", "I", "I", "I", "I", "I", "I", "I", "I", "I", "I", "I", "I", "I", "I", "I", "I", "I", "I", "I", "I"], "frac_coords": [[0.000, 0.000, 0.000], [0.500, 0.500, 0.500], [0.041, 0.173, 0.610], [0.137, 0.863, 0.601], [0.173, 0.041, 0.390], [0.327, 0.459, 0.890], [0.363, 0.637, 0.101], [0.459, 0.327, 0.110], [0.541, 0.673, 0.890], [0.637, 0.363, 0.899], [0.673, 0.541, 0.110], [0.827, 0.959, 0.610], [0.863, 0.137, 0.399], [0.959, 0.827, 0.390], [0.000, 0.000, 0.500], [0.500, 0.500, 0.000], [0.037, 0.214, 0.245], [0.096, 0.404, 0.750], [0.118, 0.630, 0.494], [0.130, 0.618, 0.994], [0.159, 0.841, 0.234], [0.214, 0.037, 0.755], [0.248, 0.248, 0.000], [0.252, 0.252, 0.500], [0.286, 0.463, 0.255], [0.341, 0.659, 0.734], [0.370, 0.882, 0.494], [0.382, 0.870, 0.994], [0.404, 0.096, 0.250], [0.463, 0.286, 0.745], [0.537, 0.714, 0.255], [0.596, 0.904, 0.750], [0.618, 0.130, 0.006], [0.630, 0.118, 0.506], [0.659, 0.341, 0.266], [0.714, 0.537, 0.745], [0.748, 0.748, 0.500], [0.752, 0.752, 0.000], [0.786, 0.963, 0.245], [0.841, 0.159, 0.766], [0.870, 0.382, 0.006], [0.882, 0.370, 0.506], [0.904, 0.596, 0.250], [0.963, 0.786, 0.755]], "rho_g_cm3": 5.5, "space_group": "Cmce"}

{"formula": "La4B4I5", "functional": "PBEsol", "state": "relaxed", "lattice_angstrom": [[9.541, -2.164, 0.000], [9.541, 2.164, 0.000], [-3.007, 0.000, 9.782]], "species": ["La", "La", "La", "La", "B", "B", "B", "B", "I", "I", "I", "I", "I"], "frac_coords": [[0.000, 0.000, 0.000], [0.015, 0.015, 0.503], [0.371, 0.371, 0.185], [0.643, 0.643, 0.318], [0.193, 0.822, 0.251], [0.505, 0.505, 0.155], [0.510, 0.510, 0.347], [0.822, 0.193, 0.251], [0.180, 0.180, 0.103], [0.191, 0.191, 0.566], [0.506, 0.506, 0.750], [0.824, 0.824, 0.936], [0.835, 0.835, 0.399]], "rho_g_cm3": 5.1, "space_group": "Cm", "n_ef_per_ev_atom": 0.0552}

| no. | formation energy from raw total energies (kJ/mol of atoms) | magnetic moment (μB per cell) |
| --- | --- | --- |
| 1 | 45 | 0.000 |
| 2 | 124 | 0.000 |
| 3 | 45 | 0.151 |
| 4 | 133 | 0.000 |
| 5 | 178 | 0.001 |
| 6 | 161 | 0.000 |
| 7 | -102 | 0.000 |
| 8 | -109 | 0.000 |